# 1
A geometry-optimized LiAs4Au structure. Source: the Alexandria database, functional PBE.

Structure (CIF):
```
data_LiAs4Au
_symmetry_space_group_name_H-M 'F -4 3 m'
_symmetry_Int_Tables_number 216
_symmetry_space_group_name_Hall 'F -4 2 3'
_cell_length_a 7.914
_cell_length_b 7.914
_cell_length_c 7.914
_cell_angle_alpha 90.00
_cell_angle_beta 90.00
_cell_angle_gamma 90.00
loop_
_atom_site_label
_atom_site_fract_x
_atom_site_fract_y
_atom_site_fract_z
Li1 0.000 0.000 0.000
As1 0.118 0.118 0.618
Au1 0.250 0.250 0.250
```



# 2
A geometry-optimized Li4As3Au4 structure. Source: the Alexandria database, functional PBE.

Structure (CIF):
```
data_Li4As3Au4
_symmetry_space_group_name_H-M 'P -1'
_symmetry_Int_Tables_number 2
_cell_length_a 3.023
_cell_length_b 4.292
_cell_length_c 14.832
_cell_angle_alpha 81.71
_cell_angle_beta 84.38
_cell_angle_gamma 89.93
loop_
_symmetry_equiv_pos_as_xyz
'x,y,z'
'-x,-y,-z'
loop_
_atom_site_label
_atom_site_fract_x
_atom_site_fract_y
_atom_site_fract_z
Li1 0.047 0.049 0.403
Li2 0.174 0.677 0.144
As1 0.365 0.862 0.775
As2 0.500 0.500 0.500
Au1 0.273 0.772 0.956
Au2 0.412 0.410 0.679
```



# 3
A geometry-optimized LiAs2Au2 structure. Source: the Alexandria database, functional PBE.

Structure (CIF):
```
data_LiAs2Au2
_symmetry_space_group_name_H-M 'P 4/m b m'
_symmetry_Int_Tables_number 127
_symmetry_space_group_name_Hall '-P 4 2ab'
_cell_length_a 7.247
_cell_length_b 7.247
_cell_length_c 3.641
_cell_angle_alpha 90.00
_cell_angle_beta 90.00
_cell_angle_gamma 90.00
loop_
_atom_site_label
_atom_site_fract_x
_atom_site_fract_y
_atom_site_fract_z
Li1 0.000 0.000 0.000
As1 0.170 0.330 0.500
Au1 0.141 0.641 0.000
```



| no. | ΔH_f (0 K) (eV/atom) |
| --- | --- |
| 1 | 0.1890 |
| 2 | -0.3854 |
| 3 | -0.0436 |